#A
Computed, not measured: a relaxed DyHfGa2 crystal at the PBE level of DFT.

Calculated values
Mass density = 9682 kg/m3

Unit cell a=3.568 b=3.568 c=6.473 alpha=90.00 beta=90.00 gamma=90.00
Element x y z (fractional)
Hf (0.500, 0.500, 0.000)
Ga (0.000, 0.000, 0.779)
Ga (0.000, 0.000, 0.221)
Dy (0.500, 0.500, 0.500)


#B
Computed, not measured: a relaxed DyHfGa2 crystal at the PBE level of DFT.

Calculated values
Mass density = 9027 kg/m3

Unit cell a=3.490 b=3.490 c=8.619 alpha=78.32 beta=78.32 gamma=60.00
Element x y z (fractional)
Hf (0.000, 0.000, 0.000)
Ga (0.746, 0.746, 0.763)
Ga (0.254, 0.254, 0.237)
Dy (0.500, 0.500, 0.500)


Which one sits at the top of the stability order? #A does.


#A
Computed, not measured: a relaxed Dy6Ga2Hg crystal at the PBE level of DFT.

Calculated values
Mass density = 8941 kg/m3

Unit cell a=8.605 b=8.605 c=8.605 alpha=105.18 beta=111.81 gamma=111.51
Element x y z (fractional)
Dy (0.544, 0.725, 0.819)
Dy (0.456, 0.275, 0.181)
Dy (0.095, 0.275, 0.819)
Dy (0.905, 0.725, 0.181)
Dy (0.801, 0.754, 0.555)
Dy (0.199, 0.246, 0.445)
Dy (0.199, 0.754, 0.954)
Dy (0.801, 0.246, 0.046)
Dy (0.705, 0.382, 0.677)
Dy (0.295, 0.618, 0.323)
Dy (0.295, 0.972, 0.677)
Dy (0.705, 0.028, 0.323)
Ga (0.500, 0.378, 0.878)
Ga (0.500, 0.622, 0.122)
Ga (0.646, 0.000, 0.646)
Ga (0.354, 0.000, 0.354)
Hg (0.000, 0.500, 0.500)
Hg (0.000, 0.000, 0.000)


#B
Computed, not measured: a relaxed Dy6Ga2Hg crystal at the PBE level of DFT.

Calculated values
Mass density = 8227 kg/m3

Unit cell a=4.974 b=7.092 c=8.680 alpha=114.11 beta=106.63 gamma=90.00
Element x y z (fractional)
Dy (0.169, 0.420, 0.338)
Dy (0.831, 0.082, 0.662)
Dy (0.831, 0.580, 0.662)
Dy (0.500, 0.255, 0.000)
Dy (0.169, 0.918, 0.338)
Dy (0.500, 0.745, 0.000)
Ga (0.667, 0.667, 0.335)
Ga (0.333, 0.333, 0.665)
Hg (0.000, 0.000, 0.000)


Which one sits at the top of the stability order? #A does.


#A
Computed, not measured: a relaxed Dy3GaHg crystal at the PBE level of DFT.

Calculated values
Mass density = 9584 kg/m3

Unit cell a=5.084 b=5.089 c=10.463 alpha=90.00 beta=75.94 gamma=90.00
Each line ends with the local moment (μB).
Element x y z (fractional)
Dy (0.760, 0.250, 0.129)  0.01
Dy (0.387, 0.250, 0.874)  0.00
Dy (0.574, 0.250, 0.501)  0.05
Dy (0.261, 0.750, 0.126)  0.00
Dy (0.889, 0.750, 0.871)  0.01
Dy (0.075, 0.750, 0.499)  0.05
Ga (0.482, 0.750, 0.685)  0.00
Ga (0.167, 0.250, 0.315)  0.00
Hg (0.668, 0.750, 0.313)  0.00
Hg (0.981, 0.250, 0.687)  0.00


#B
Computed, not measured: a relaxed Dy3GaHg crystal at the PBE level of DFT.

Calculated values
Mass density = 8880 kg/m3

Unit cell a=4.457 b=7.252 c=8.769 alpha=90.00 beta=90.00 gamma=90.00
Element x y z (fractional)
Dy (0.750, 0.750, 0.070)
Dy (0.250, 0.250, 0.930)
Dy (0.750, 0.995, 0.677)
Dy (0.750, 0.505, 0.677)
Dy (0.250, 0.005, 0.323)
Dy (0.250, 0.495, 0.323)
Ga (0.750, 0.750, 0.400)
Ga (0.250, 0.250, 0.600)
Hg (0.750, 0.250, 0.163)
Hg (0.250, 0.750, 0.837)


Which one sits at the top of the stability order? #A does.